*A*
Below is a relaxed structure of Nd2ScAu2, with properties calculated at the GGA-PBE level.

Values from the calculation:
Space-group type = C2/m, No. 12

Cell lengths 6.4729, 6.4729, 10.9513 Å; angles 119.67, 119.67, 41.99 degrees
Fractional positions:
Nd 0.0290 0.0290 0.1842
Nd 0.1800 0.1800 0.5962
Nd 0.8200 0.8200 0.4038
Nd 0.9710 0.9710 0.8158
Sc 0.2933 0.2933 0.1382
Sc 0.7067 0.7067 0.8618
Au 0.3596 0.3596 0.9319
Au 0.4607 0.4607 0.6106
Au 0.5393 0.5393 0.3894
Au 0.6404 0.6404 0.0681

---

*B*
Below is a relaxed structure of Nd2ScAu2, with properties calculated at the GGA-PBE level.

Values from the calculation:
Space-group type = Immm, No. 71

Cell lengths 6.2520, 6.2520, 6.2520 Å; angles 143.47, 112.48, 79.29 degrees
Fractional positions:
Nd 0.2039 0.2039 0.0000
Nd 0.7961 0.7961 0.0000
Sc 0.5000 0.0000 0.5000
Au 0.2167 0.5000 0.7167
Au 0.7833 0.5000 0.2833

---

In order of decreasing stability: *A*, *B*.

---

*A*
Below is a relaxed structure of NdSc2Au, with properties calculated at the GGA-PBE level.

Values from the calculation:
Space-group type = R3m, No. 160

Cell lengths 9.7646, 9.7646, 9.7646 Å; angles 21.01, 21.01, 21.01 degrees
Fractional positions:
Nd 0.0000 0.0000 0.0000
Sc 0.2362 0.2362 0.2362
Sc 0.4350 0.4350 0.4350
Au 0.8362 0.8362 0.8362

---

*B*
Below is a relaxed structure of NdSc2Au, with properties calculated at the GGA-PBE level.

Values from the calculation:
Space-group type = R-3m, No. 166

Cell lengths 10.7579, 10.7579, 10.7579 Å; angles 18.25, 18.25, 18.25 degrees
Fractional positions:
Nd 0.0000 0.0000 0.0000
Sc 0.1032 0.1032 0.1032
Sc 0.8968 0.8968 0.8968
Au 0.5000 0.5000 0.5000

---

*C*
Below is a relaxed structure of NdSc2Au, with properties calculated at the GGA-PBE level.

Values from the calculation:
Space-group type = P4/mmm, No. 123

Cell lengths 3.4899, 3.4899, 8.0244 Å; angles 90.00, 90.00, 90.00 degrees
Fractional positions:
Nd 0.0000 0.0000 0.0000
Sc 0.5000 0.5000 0.3018
Sc 0.5000 0.5000 0.6982
Au 0.0000 0.0000 0.5000

---

In order of decreasing stability: *C*, *A*, *B*.

---

*A*
Below is a relaxed structure of NdScZnAu, with properties calculated at the GGA-PBE level.

Values from the calculation:
Space-group type = P4mm, No. 99

Cell lengths 3.5243, 3.5243, 7.1316 Å; angles 90.00, 90.00, 90.00 degrees
Fractional positions:
Nd 0.0000 0.0000 0.0000
Sc 0.0000 0.0000 0.4952
Zn 0.5000 0.5000 0.2842
Au 0.5000 0.5000 0.7029

---

*B*
Below is a relaxed structure of NdScZnAu, with properties calculated at the GGA-PBE level.

Values from the calculation:
Space-group type = F-43m, No. 216

Cell lengths 5.0360, 5.0360, 5.0360 Å; angles 60.00, 60.00, 60.00 degrees
Fractional positions:
Nd 0.0000 0.0000 0.0000
Sc 0.5000 0.5000 0.5000
Zn 0.2500 0.2500 0.2500
Au 0.7500 0.7500 0.7500

---

In order of decreasing stability: *A*, *B*.